1.
# Tm4HgPSe2 PBE relaxed
# * size of the total moment: 0.0 Bohr magnetons per cell
# * D(E_F): 4.26 states/eV per cell
# * E_tot: -5.141 eV per atom
# * calculated volume: 23.809 Å³/atom
# * formation energy (no corrections): -10.56 eV per formula unit
data_Tm4HgPSe2
_symmetry_space_group_name_H-M 'P 1 2/m 1'
_symmetry_Int_Tables_number 10
_cell_length_a 7.082
_cell_length_b 3.965
_cell_length_c 7.147
_cell_angle_alpha 90.00
_cell_angle_beta 108.39
_cell_angle_gamma 90.00
loop_
_symmetry_equiv_pos_as_xyz
'x,y,z'
'-x,-y,-z'
'-x,y,-z'
'x,-y,z'
loop_
_atom_site_label
_atom_site_type_symbol
_atom_site_fract_x
_atom_site_fract_y
_atom_site_fract_z
Tm1 Tm 0.236 0.000 0.234
Tm2 Tm 0.248 0.500 0.761
Hg1 Hg 0.000 0.000 0.500
P1 P 0.000 0.500 0.000
Se1 Se 0.500 0.000 0.000
Se2 Se 0.500 0.500 0.500

---

2.
# HgPWSe2 PBE relaxed
# * size of the total moment: 4.0 Bohr magnetons per cell
# * D(E_F): 2.59 states/eV per cell
# * E_tot: -3.834 eV per atom
# * calculated volume: 23.493 Å³/atom
# * formation energy (no corrections): 6.46 eV per formula unit
data_HgPWSe2
_symmetry_space_group_name_H-M 'P 4/m m m'
_symmetry_Int_Tables_number 123
_symmetry_space_group_name_Hall '-P 4 2'
_cell_length_a 4.966
_cell_length_b 4.966
_cell_length_c 4.763
_cell_angle_alpha 90.00
_cell_angle_beta 90.00
_cell_angle_gamma 90.00
loop_
_atom_site_label
_atom_site_type_symbol
_atom_site_fract_x
_atom_site_fract_y
_atom_site_fract_z
Hg1 Hg 0.000 0.000 0.000
P1 P 0.000 0.000 0.500
W1 W 0.500 0.500 0.000
Se1 Se 0.000 0.500 0.500